Run i
Compound: MgZn4Cu
Source: the Alexandria database
Functional: PBE-GGA
Structure: relaxed

Cell and atoms, written as POSCAR:
```
MgZn4Cu
1.0
5.063 0.000 0.000
2.531 4.384 0.000
2.531 1.461 4.134
Zn Cu Mg
4 1 1
Cartesian
3.803 3.651 2.581 Zn
6.323 3.651 2.581 Zn
5.063 2.923 0.523 Zn
5.063 1.468 2.581 Zn
2.531 1.461 1.033 Cu
0.000 0.000 0.000 Mg
```

Computed properties:
- Total moment: 0.0 μB per formula unit
- DOS at the Fermi energy: 0.301 states/eV per atom

Run ii
Compound: MgZn4Cu
Source: the Alexandria database
Functional: PBE-GGA
Structure: relaxed

Cell and atoms, written as POSCAR:
```
MgZn4Cu
1.0
5.731 0.000 2.266
-0.892 5.661 2.266
0.641 0.749 6.765
Zn Mg Cu
8 2 2
Cartesian
0.051 1.356 2.444 Zn
3.751 3.092 4.710 Zn
5.429 5.055 8.853 Zn
3.087 0.259 3.139 Zn
1.729 3.318 6.587 Zn
0.714 4.188 4.018 Zn
4.766 2.223 7.279 Zn
2.393 6.152 8.158 Zn
0.641 0.749 6.765 Mg
2.420 2.831 2.266 Mg
1.530 1.790 4.515 Cu
3.950 4.620 6.782 Cu
```

Computed properties:
- Total moment: 0.0 μB per formula unit
- DOS at the Fermi energy: 0.359 states/eV per atom

The structure shown above that is most stable: run i.